Entry 1:
Density functional theory data (GGA-PBEsol) for crystalline Sc20O19 at its relaxed geometry.

a b c (Å): 8.276 8.276 8.276
angles (deg): 106.59 106.59 115.40
Sites, in units of the cell vectors:
O 0.046 0.348 0.897
O 0.250 0.750 0.500
O 0.451 0.148 0.103
O 0.903 0.300 0.203
O 0.652 0.549 0.697
O 0.400 0.803 0.203
O 0.300 0.097 0.397
O 0.148 0.046 0.697
O 0.700 0.903 0.603
O 0.600 0.197 0.797
O 0.097 0.700 0.797
O 0.803 0.600 0.402
O 0.549 0.852 0.897
O 0.000 0.000 0.000
O 0.750 0.250 0.500
O 0.348 0.451 0.303
O 0.197 0.400 0.598
O 0.954 0.652 0.103
O 0.852 0.954 0.303
Sc 0.602 0.701 0.302
Sc 0.451 0.648 0.603
Sc 0.500 0.000 0.500
Sc 0.199 0.898 0.097
Sc 0.398 0.299 0.698
Sc 0.549 0.352 0.397
Sc 0.045 0.848 0.397
Sc 0.801 0.102 0.903
Sc 0.250 0.250 0.000
Sc 0.000 0.500 0.500
Sc 0.152 0.549 0.197
Sc 0.648 0.045 0.197
Sc 0.848 0.451 0.803
Sc 0.701 0.398 0.099
Sc 0.352 0.955 0.803
Sc 0.299 0.602 0.901
Sc 0.102 0.199 0.301
Sc 0.955 0.152 0.603
Sc 0.898 0.801 0.699
Sc 0.750 0.750 0.000

Properties
energy relative to the elements, uncorrected: -284.27 kJ per mole of atoms
M_tot: 0.00 μB per atom

***

Entry 2:
Density functional theory data (GGA-PBEsol) for crystalline Sc2Se3O9 at its relaxed geometry.

a b c (Å): 7.657 8.168 8.168
angles (deg): 120.00 90.00 90.00
Sites, in units of the cell vectors:
O 0.424 0.830 0.583
O 0.924 0.247 0.830
O 0.250 0.489 0.872
O 0.076 0.753 0.170
O 0.576 0.170 0.417
O 0.076 0.830 0.583
O 0.750 0.617 0.489
O 0.424 0.417 0.247
O 0.750 0.872 0.383
O 0.576 0.247 0.830
O 0.250 0.383 0.511
O 0.424 0.753 0.170
O 0.924 0.583 0.753
O 0.924 0.170 0.417
O 0.576 0.583 0.753
O 0.076 0.417 0.247
O 0.250 0.128 0.617
O 0.750 0.511 0.128
Se 0.750 0.032 0.300
Se 0.750 0.700 0.732
Se 0.250 0.968 0.700
Se 0.750 0.268 0.968
Se 0.250 0.300 0.268
Se 0.250 0.732 0.032
Sc 0.455 0.333 0.667
Sc 0.545 0.667 0.333
Sc 0.955 0.667 0.333
Sc 0.045 0.333 0.667

Properties
energy relative to the elements, uncorrected: -174.63 kJ per mole of atoms
M_tot: 0.00 μB per atom

***

Entry 3:
Density functional theory data (GGA-PBEsol) for crystalline ScSeO2 at its relaxed geometry.

a b c (Å): 3.216 3.216 6.446
angles (deg): 75.55 75.55 60.00
Sites, in units of the cell vectors:
Se 0.000 0.000 0.000
O 0.112 0.112 0.664
O 0.888 0.888 0.336
Sc 0.500 0.500 0.500

Properties
energy relative to the elements, uncorrected: -208.32 kJ per mole of atoms
M_tot: 0.00 μB per atom

***

Entry 4:
Density functional theory data (GGA-PBEsol) for crystalline Sc2TeSe2O10 at its relaxed geometry.

a b c (Å): 6.524 11.065 12.422
angles (deg): 90.00 100.63 90.00
Sites, in units of the cell vectors:
O 0.078 0.192 0.007
O 0.062 0.978 0.336
O 0.938 0.022 0.664
O 0.434 0.390 0.836
O 0.062 0.522 0.836
O 0.266 0.614 0.685
O 0.692 0.578 0.948
O 0.566 0.610 0.164
O 0.900 0.782 0.229
O 0.308 0.422 0.052
O 0.308 0.078 0.552
O 0.078 0.308 0.507
O 0.100 0.218 0.771
O 0.729 0.237 0.629
O 0.428 0.308 0.458
O 0.434 0.110 0.336
O 0.146 0.649 0.100
O 0.572 0.808 0.042
O 0.692 0.922 0.448
O 0.854 0.351 0.900
O 0.922 0.692 0.493
O 0.854 0.149 0.400
O 0.248 0.521 0.469
O 0.566 0.890 0.664
O 0.266 0.886 0.185
O 0.146 0.851 0.600
O 0.100 0.282 0.271
O 0.271 0.737 0.871
O 0.729 0.263 0.129
O 0.734 0.114 0.815
O 0.900 0.718 0.729
O 0.938 0.478 0.164
O 0.248 0.979 0.969
O 0.752 0.021 0.031
O 0.428 0.192 0.958
O 0.922 0.808 0.993
O 0.752 0.479 0.531
O 0.734 0.386 0.315
O 0.271 0.763 0.371
O 0.572 0.692 0.542
Sc 0.804 0.655 0.090
Sc 0.247 0.698 0.528
Sc 0.247 0.802 0.028
Sc 0.196 0.155 0.410
Sc 0.753 0.302 0.472
Sc 0.804 0.845 0.590
Sc 0.196 0.345 0.910
Sc 0.753 0.198 0.972
Se 0.302 0.393 0.544
Se 0.877 0.150 0.721
Se 0.698 0.893 0.956
Se 0.877 0.350 0.221
Se 0.698 0.607 0.456
Se 0.123 0.850 0.279
Se 0.123 0.650 0.779
Se 0.302 0.107 0.044
Te 0.676 0.023 0.327
Te 0.676 0.477 0.827
Te 0.324 0.523 0.173
Te 0.324 0.977 0.673

Properties
energy relative to the elements, uncorrected: -169.27 kJ per mole of atoms
M_tot: 0.00 μB per atom

***

Entry 5:
Density functional theory data (GGA-PBEsol) for crystalline ScVSe2O8 at its relaxed geometry.

a b c (Å): 5.144 8.915 14.528
angles (deg): 105.04 90.00 90.00
Sites, in units of the cell vectors:
V 0.354 0.855 0.483
V 0.146 0.355 0.983
V 0.854 0.645 0.017
V 0.646 0.145 0.517
O 0.730 0.091 0.385
O 0.476 0.900 0.901
O 0.524 0.100 0.099
O 0.770 0.591 0.885
O 0.392 0.240 0.937
O 0.595 0.787 0.373
O 0.976 0.600 0.599
O 0.430 0.930 0.247
O 0.608 0.760 0.063
O 0.570 0.070 0.753
O 0.070 0.430 0.747
O 0.108 0.740 0.437
O 0.095 0.713 0.127
O 0.928 0.172 0.014
O 0.024 0.400 0.401
O 0.292 0.024 0.460
O 0.992 0.063 0.169
O 0.508 0.563 0.669
O 0.892 0.260 0.563
O 0.230 0.409 0.115
O 0.428 0.328 0.486
O 0.708 0.976 0.540
O 0.572 0.672 0.514
O 0.208 0.524 0.960
O 0.008 0.937 0.831
O 0.792 0.476 0.040
O 0.270 0.909 0.615
O 0.930 0.570 0.253
O 0.405 0.213 0.627
O 0.905 0.287 0.873
O 0.072 0.828 0.986
O 0.492 0.437 0.331
Sc 0.805 0.580 0.390
Sc 0.305 0.920 0.110
Sc 0.195 0.420 0.610
Sc 0.695 0.080 0.890
Se 0.190 0.805 0.869
Se 0.690 0.695 0.631
Se 0.790 0.410 0.803
Se 0.310 0.305 0.369
Se 0.710 0.910 0.303
Se 0.210 0.590 0.197
Se 0.810 0.195 0.131
Se 0.290 0.090 0.697

Properties
energy relative to the elements, uncorrected: -175.65 kJ per mole of atoms
M_tot: 0.00 μB per atom

***

Entry 6:
Density functional theory data (GGA-PBEsol) for crystalline ZrScSe2O at its relaxed geometry.

a b c (Å): 3.742 4.909 4.909
angles (deg): 90.00 90.00 90.00
Sites, in units of the cell vectors:
Sc 0.500 0.000 0.000
O 0.000 0.000 0.000
Zr 0.500 0.500 0.500
Se 0.000 0.500 0.000
Se 0.000 0.000 0.500

Properties
energy relative to the elements, uncorrected: -95.88 kJ per mole of atoms
M_tot: 0.00 μB per atom

***

Entry 7:
Density functional theory data (GGA-PBEsol) for crystalline ScSnO2 at its relaxed geometry.

a b c (Å): 3.196 3.196 6.929
angles (deg): 76.67 76.67 60.00
Sites, in units of the cell vectors:
O 0.115 0.115 0.656
O 0.885 0.885 0.344
Sn 0.000 0.000 0.000
Sc 0.500 0.500 0.500

Properties
energy relative to the elements, uncorrected: -240.52 kJ per mole of atoms
M_tot: 0.00 μB per atom

***

Entry 8:
Density functional theory data (GGA-PBEsol) for crystalline Sc2SnO2 at its relaxed geometry.

a b c (Å): 3.561 3.561 7.043
angles (deg): 104.64 104.64 90.00
Sites, in units of the cell vectors:
Sc 0.673 0.673 0.346
Sc 0.327 0.327 0.654
Sn 0.000 0.000 0.000
O 0.250 0.750 0.500
O 0.750 0.250 0.500

Properties
energy relative to the elements, uncorrected: -243.21 kJ per mole of atoms
M_tot: 0.00 μB per atom